(1)
Computed, not measured: crystalline HfTiCo at its relaxed geometry at the PBE-GGA level of DFT.

abc: 4.9822 3.9831 5.3353
angles: 90.00 107.85 90.00
With the nearest neighbours (Å) after each atom.
Fractional positions:
Hf  0.0707  0.2500  0.2608  4 Co 2.60-2.69
Hf  0.9293  0.7500  0.7392  4 Co 2.60-2.69
Ti  0.4441  0.2500  0.8210  3 Co 2.38-2.53
Ti  0.5559  0.7500  0.1790  3 Co 2.38-2.53
Co  0.3618  0.7500  0.5644  3 Ti 2.38-2.53, 1 Hf 2.60, 2 Co 2.63
Co  0.6382  0.2500  0.4356  3 Ti 2.38-2.53, 1 Hf 2.60, 2 Co 2.63

Space-group type: P2_1/m, No. 11
N(E_F): 1.058 states/eV/atom
Energy: -8.545 eV per atom
Formation energy: -0.227 eV/atom
Crystal system: monoclinic
Density: 9.40 Mg/m³

(2)
Computed, not measured: crystalline HfTi2Co2 at its relaxed geometry at the PBE-GGA level of DFT.

abc: 6.0604 6.0604 6.0604
angles: 143.03 143.03 53.28
With the nearest neighbours (Å) after each atom.
Fractional positions:
Hf  0.0000  0.0000  0.0000  8 Ti 3.04, 8 Co 3.32
Ti  0.3748  0.3748  0.0000  4 Co 2.35
Ti  0.6252  0.6252  0.0000  4 Co 2.35
Co  0.2500  0.7500  0.5000  4 Ti 2.35
Co  0.7500  0.2500  0.5000  4 Ti 2.35

Space-group type: I4/mmm, No. 139
N(E_F): 1.329 states/eV/atom
Energy: -7.930 eV per atom
Formation energy: 0.061 eV/atom
Crystal system: tetragonal
Density: 8.14 Mg/m³
Energy above the lowest structure with this stoichiometry: 30.1 kJ per mole of atoms

(3)
Computed, not measured: crystalline HfTi8Co2 at its relaxed geometry at the PBE-GGA level of DFT.

abc: 6.7255 6.7255 5.3241
angles: 95.11 95.11 50.29
With the nearest neighbours (Å) after each atom.
Fractional positions:
Hf  0.0000  0.0000  0.0000  10 Ti 2.78-3.09
Ti  0.1459  0.6214  0.5770  2 Co 2.38-2.48
Ti  0.2119  0.2119  0.8470  1 Co 2.39
Ti  0.3786  0.8541  0.4230  2 Co 2.38-2.48
Ti  0.4161  0.4161  0.0958  1 Co 2.35, 1 Ti 2.37
Ti  0.5839  0.5839  0.9042  1 Co 2.35, 1 Ti 2.37
Ti  0.6214  0.1459  0.5770  2 Co 2.38-2.48
Ti  0.7881  0.7881  0.1530  1 Co 2.39
Ti  0.8541  0.3786  0.4230  2 Co 2.38-2.48
Co  0.2523  0.2523  0.2959  6 Ti 2.35-2.48
Co  0.7477  0.7477  0.7041  6 Ti 2.35-2.48

Space-group type: C2/m, No. 12
N(E_F): 1.299 states/eV/atom
Energy: -7.937 eV per atom
Formation energy: 0.002 eV/atom
Crystal system: monoclinic
Density: 6.12 Mg/m³